A plane-wave DFT calculation with GGA-PBEsol was carried out for an optimized crystal structure of Si2HgPb.

a b c (Å): 4.251 4.251 5.589
angles (deg): 112.35 112.35 90.00
Element x y z (fractional)
Si 0.000 0.000 0.000
Si 0.750 0.250 0.500
Hg 0.500 0.500 0.000
Pb 0.250 0.750 0.500

Calculated values
Total moment   0.00 μB per cell
Electronic total energy   -3.4848 eV/atom
ΔE to the lowest computed polymorph   99 meV/atom
Formation energy without anion corrections   12.22 kcal/mol of atoms

A plane-wave DFT calculation with GGA-PBEsol was carried out for an optimized crystal structure of Sm2HgPb.

a b c (Å): 5.324 5.324 5.324
angles (deg): 60.00 90.00 120.00
Element x y z (fractional)
Hg 0.000 0.000 0.000
Pb 0.500 0.000 0.500
Sm 0.750 0.500 0.750
Sm 0.250 0.500 0.250

Calculated values
Calculated formation energy   -0.5623 eV per atom
Total moment   0.00 μB per cell
Electronic total energy   -4.2499 eV/atom

A plane-wave DFT calculation with GGA-PBEsol was carried out for an optimized crystal structure of Sn2HgPb.

a b c (Å): 5.291 5.291 5.291
angles (deg): 60.00 60.00 60.00
Element x y z (fractional)
Sn 0.750 0.750 0.750
Sn 0.250 0.250 0.250
Pb 0.500 0.500 0.500
Hg 0.000 0.000 0.000

Calculated values
Calculated formation energy   0.0511 eV per atom
Total moment   0.00 μB per cell
Electronic total energy   -3.2199 eV/atom
ΔE to the lowest computed polymorph   0 meV/atom

A plane-wave DFT calculation with GGA-PBEsol was carried out for an optimized crystal structure of Sn2HgPb.

a b c (Å): 4.396 4.396 11.657
angles (deg): 100.87 100.87 90.00
Element x y z (fractional)
Hg 0.750 0.250 0.500
Hg 0.500 0.500 0.000
Sn 0.125 0.134 0.750
Sn 0.384 0.875 0.250
Sn 0.625 0.616 0.750
Sn 0.866 0.375 0.250
Pb 0.250 0.750 0.500
Pb 0.000 0.000 0.000

Calculated values
Calculated formation energy   0.0548 eV per atom
Total moment   0.00 μB per cell
Electronic total energy   -3.2162 eV/atom
ΔE to the lowest computed polymorph   4 meV/atom

A plane-wave DFT calculation with GGA-PBEsol was carried out for an optimized crystal structure of SnHgPb2.

a b c (Å): 5.351 5.351 5.351
angles (deg): 60.00 60.00 60.00
Element x y z (fractional)
Hg 0.500 0.500 0.500
Pb 0.750 0.750 0.750
Pb 0.250 0.250 0.250
Sn 0.000 0.000 0.000

Calculated values
Calculated formation energy   0.0225 eV per atom
Total moment   0.00 μB per cell
Electronic total energy   -3.1834 eV/atom

A plane-wave DFT calculation with GGA-PBEsol was carried out for an optimized crystal structure of Sn2Hg2Pb.

a b c (Å): 3.568 8.504 8.504
angles (deg): 90.00 90.00 90.00
Element x y z (fractional)
Pb 0.000 0.000 0.000
Pb 0.000 0.500 0.500
Hg 0.000 0.363 0.863
Hg 0.000 0.137 0.363
Hg 0.000 0.637 0.137
Hg 0.000 0.863 0.637
Sn 0.500 0.662 0.838
Sn 0.500 0.162 0.662
Sn 0.500 0.838 0.338
Sn 0.500 0.338 0.162

Calculated values
Calculated formation energy   0.0376 eV per atom
Total moment   0.00 μB per cell
Electronic total energy   -2.6926 eV/atom

Which value of total moment does entry 5 give?
0.00 μB per cell